VASP calculation (PBE+U) on crystalline AcVO4 at its relaxed geometry.

Computed properties:
The energy above the most stable polymorph in this dataset is 0.159 eV/f.u. As for the space group: No. 88. For the calculated total energy, the calculation gives -95.55 eV/cell.

a b c (Å): 5.345 5.344 7.288
angles (deg): 111.51 111.51 90.01
Atoms (fractional coordinates):
Ac1 0.375 0.625 0.250
Ac2 0.625 0.375 0.750
V1 0.125 0.875 0.750
V2 0.875 0.125 0.250
O1 0.919 0.297 0.098
O2 0.679 0.801 0.098
O3 0.297 0.679 0.598
O4 0.703 0.321 0.402
O5 0.199 0.081 0.402
O6 0.321 0.199 0.902
O7 0.801 0.919 0.598
O8 0.081 0.703 0.902